First-principles (GGA-PBE) data for PaCo4Si2Ni after structural relaxation, as listed in Alexandria via LeMat-Bulk.

Unit cell a=3.8623 b=3.8623 c=8.2547 alpha=76.47 beta=76.47 gamma=60.00
Closest atoms and distances in Å follow each position.
Atoms (fractional coordinates):
Si  0.2319  0.2319  0.3044  7 Co 2.32-2.47
Si  0.7681  0.7681  0.6956  7 Co 2.32-2.47
Co  0.1282  0.1282  0.6155  4 Si 2.32-2.47, 3 Ni 2.41
Co  0.5990  0.5990  0.2031  1 Ni 2.36, 3 Si 2.37
Co  0.8718  0.8718  0.3845  4 Si 2.32-2.47, 3 Ni 2.41
Co  0.4010  0.4010  0.7969  1 Ni 2.36, 3 Si 2.37
Pa  0.0000  0.0000  0.0000  8 Co 2.75-3.06
Ni  0.5000  0.5000  0.5000  8 Co 2.36-2.41

Results
- ΔE_f (raw): -0.4758 eV/atom
- Space group: No. 166

---

First-principles (GGA-PBE) data for Cr2InMoN after structural relaxation, as listed in Alexandria via LeMat-Bulk.

Unit cell a=3.9909 b=3.9909 c=4.1351 alpha=90.00 beta=90.00 gamma=90.00
Closest atoms and distances in Å follow each position.
Atoms (fractional coordinates):
In  0.5000  0.5000  0.5000  4 Mo 2.82, 8 Cr 2.87
N  0.0000  0.0000  0.0000  4 Cr 2.00, 2 Mo 2.07
Mo  0.0000  0.0000  0.5000  2 N 2.07
Cr  0.5000  0.0000  0.0000  2 N 2.00
Cr  0.0000  0.5000  0.0000  2 N 2.00

Results
- ΔE_f (raw): -0.0333 eV/atom
- ΔE to the lowest computed polymorph: 0.0000 eV per atom
- Space group: No. 123

---

First-principles (GGA-PBE) data for YCr2W after structural relaxation, as listed in Alexandria via LeMat-Bulk.

Unit cell a=2.8060 b=2.8060 c=8.8559 alpha=90.00 beta=90.00 gamma=111.37
Closest atoms and distances in Å follow each position.
Atoms (fractional coordinates):
Cr  0.5000  0.5000  0.2333  2 Cr 2.30, 2 W 2.56
Cr  0.0000  0.0000  0.0448  2 Cr 2.30
W  0.0000  0.0000  0.4601  2 Cr 2.56, 4 W 2.81
Y  0.5000  0.5000  0.7618  4 Y 2.81, 2 Cr 2.96, 2 W 3.11

Results
- Energy relative to the elements: 0.55 eV per atom
- ΔE to the lowest computed polymorph: 0.1763 eV per atom
- Space group: No. 35

---

First-principles (GGA-PBE) data for CeGa2Ni after structural relaxation, as listed in Alexandria via LeMat-Bulk.

Unit cell a=3.0198 b=3.0198 c=9.0788 alpha=80.43 beta=80.43 gamma=60.00
Closest atoms and distances in Å follow each position.
Atoms (fractional coordinates):
Ga  0.7335  0.7335  0.7995  3 Ni 2.50
Ga  0.2665  0.2665  0.2005  3 Ni 2.50
Ni  0.0000  0.0000  0.0000  6 Ga 2.50
Ce  0.5000  0.5000  0.5000  6 Ce 3.02, 6 Ga 3.19

Results
- Energy relative to the elements: -0.19 eV per atom
- Space group: No. 166

---

First-principles (GGA-PBE) data for BaNi2H8Pb after structural relaxation, as listed in Alexandria via LeMat-Bulk.

Unit cell a=4.4663 b=4.4663 c=7.3906 alpha=90.00 beta=90.00 gamma=120.00
Closest atoms and distances in Å follow each position.
Atoms (fractional coordinates):
Ba  0.0000  0.0000  0.0000  18 H 2.68-2.99
Pb  0.0000  0.0000  0.5000  12 H 2.83, 6 Ni 2.97
H  0.5310  0.0611  0.7330  1 Ni 1.54
H  0.4699  0.5310  0.2670  1 Ni 1.54
H  0.9389  0.4699  0.7330  1 Ni 1.54
H  0.4690  0.9389  0.2670  1 Ni 1.54
H  0.5301  0.4690  0.7330  1 Ni 1.54
H  0.0611  0.5301  0.2670  1 Ni 1.54
H  0.3333  0.6667  0.9036  1 Ni 1.50
H  0.6667  0.3333  0.0964  1 Ni 1.50
Ni  0.3333  0.6667  0.7004  4 H 1.50-1.54
Ni  0.6667  0.3333  0.2996  4 H 1.50-1.54

Results
- Space group: No. 164

---

First-principles (GGA-PBE) data for TlB after structural relaxation, as listed in Alexandria via LeMat-Bulk.

Unit cell a=3.2312 b=5.7536 c=13.1551 alpha=90.00 beta=90.00 gamma=90.00
Closest atoms and distances in Å follow each position.
Atoms (fractional coordinates):
B  0.0000  0.3935  0.0000  4 Tl 2.32-2.49
B  0.5000  0.6065  0.5000  4 Tl 2.32-2.49
B  0.0000  0.9851  0.7517  2 B 1.63
B  0.5000  0.0149  0.7483  2 B 1.63
B  0.5000  0.0149  0.2517  2 B 1.63
B  0.0000  0.9851  0.2483  2 B 1.63
Tl  0.0000  0.9357  0.5000  2 B 2.49
Tl  0.0000  0.6119  0.1485  2 B 2.32-2.52
Tl  0.5000  0.3881  0.6485  2 B 2.32-2.52
Tl  0.5000  0.3881  0.3515  2 B 2.32-2.52
Tl  0.0000  0.6119  0.8515  2 B 2.32-2.52
Tl  0.5000  0.0643  0.0000  2 B 2.49

Results
- Energy relative to the elements: 0.89 eV per atom
- ΔE to the lowest computed polymorph: 0.4011 eV per atom
- Space group: No. 59

---

First-principles (GGA-PBE) data for Er12GaNi5 after structural relaxation, as listed in Alexandria via LeMat-Bulk.

Unit cell a=8.1819 b=8.1819 c=8.1819 alpha=107.09 beta=111.44 gamma=109.92
Closest atoms and distances in Å follow each position.
Atoms (fractional coordinates):
Er  0.8104  0.0325  0.2221  2 Ni 2.68-2.80
Er  0.3030  0.6754  0.9784  3 Ni 2.66-2.82
Er  0.8104  0.5884  0.7779  2 Ni 2.68-2.80
Er  0.1896  0.9675  0.7779  2 Ni 2.68-2.80
Er  0.6970  0.3246  0.0216  3 Ni 2.66-2.82
Er  0.8929  0.1811  0.7118  4 Ni 2.86-3.15
Er  0.3030  0.3246  0.6277  3 Ni 2.66-2.82
Er  0.4693  0.1811  0.2882  4 Ni 2.86-3.15
Er  0.1071  0.8189  0.2882  4 Ni 2.86-3.15
Er  0.1896  0.4116  0.2221  2 Ni 2.68-2.80
Er  0.6970  0.6754  0.3723  3 Ni 2.66-2.82
Er  0.5307  0.8189  0.7118  4 Ni 2.86-3.15
Ni  0.3584  0.3584  0.0000  1 Ni 2.66, 6 Er 2.68-2.82
Ni  0.5000  0.8759  0.3759  1 Ni 2.41, 2 Er 2.66
Ni  0.6416  0.6416  0.0000  1 Ni 2.66, 6 Er 2.68-2.82
Ni  0.0000  0.0000  0.0000  4 Er 2.80
Ni  0.5000  0.1241  0.6241  1 Ni 2.41, 2 Er 2.66
Ga  0.0000  0.5000  0.5000  12 Er 3.24-3.58

Results
- Energy relative to the elements: -0.36 eV per atom
- Space group: No. 71

---

First-principles (GGA-PBE) data for Cs2BaPd2 after structural relaxation, as listed in Alexandria via LeMat-Bulk.

Unit cell a=8.1850 b=8.1850 c=5.8425 alpha=90.00 beta=90.00 gamma=90.00
Closest atoms and distances in Å follow each position.
Atoms (fractional coordinates):
Ba  0.5000  0.5000  0.0000  4 Pd 3.28
Ba  0.0000  0.0000  0.0000  4 Pd 3.28
Cs  0.8346  0.6654  0.5000  6 Pd 3.74-3.86, 1 Cs 3.83
Cs  0.3346  0.8346  0.5000  6 Pd 3.74-3.86, 1 Cs 3.83
Cs  0.1654  0.3346  0.5000  6 Pd 3.74-3.86, 1 Cs 3.83
Cs  0.6654  0.1654  0.5000  6 Pd 3.74-3.86, 1 Cs 3.83
Pd  0.1164  0.6164  0.0000  1 Pd 2.69
Pd  0.8836  0.3836  0.0000  1 Pd 2.69
Pd  0.6164  0.8836  0.0000  1 Pd 2.69
Pd  0.3836  0.1164  0.0000  1 Pd 2.69

Results
- Energy relative to the elements: 0.03 eV per atom
- Space group: No. 127

---

First-principles (GGA-PBE) data for Li2TiNb after structural relaxation, as listed in Alexandria via LeMat-Bulk.

Unit cell a=4.4343 b=4.4343 c=4.4343 alpha=60.00 beta=60.00 gamma=60.00
Closest atoms and distances in Å follow each position.
Atoms (fractional coordinates):
Ti  0.0000  0.0000  0.0000  8 Li 2.72
Nb  0.5000  0.5000  0.5000  8 Li 2.72
Li  0.7500  0.7500  0.7500  4 Ti 2.72, 4 Nb 2.72
Li  0.2500  0.2500  0.2500  4 Nb 2.72, 4 Ti 2.72

Results
- Energy relative to the elements: 0.54 eV per atom
- ΔE to the lowest computed polymorph: 0.0000 eV per atom
- Space group: No. 225

---

First-principles (GGA-PBE) data for Tl3Se2S4 after structural relaxation, as listed in Alexandria via LeMat-Bulk.

Unit cell a=8.3407 b=9.1067 c=9.1067 alpha=57.51 beta=77.35 gamma=77.35
Closest atoms and distances in Å follow each position.
Atoms (fractional coordinates):
Tl  0.9333  0.0030  0.2783  4 S 3.05-3.33
Tl  0.2500  0.5359  0.4641  2 S 2.89, 2 Se 3.19
Tl  0.5667  0.7217  0.9970  4 S 3.05-3.33
Tl  0.4333  0.2783  0.0030  4 S 3.05-3.33
Tl  0.7500  0.4641  0.5359  2 S 2.89, 2 Se 3.19
Tl  0.0667  0.9970  0.7217  4 S 3.05-3.33
Se  0.5230  0.8027  0.5182  2 S 2.20-2.22
Se  0.9770  0.4818  0.1973  2 S 2.20-2.22
Se  0.0230  0.5182  0.8027  2 S 2.20-2.22
Se  0.4770  0.1973  0.4818  2 S 2.20-2.22
S  0.1241  0.6863  0.1339  1 Se 2.20
S  0.3759  0.8661  0.3137  1 Se 2.20
S  0.6241  0.1339  0.6863  1 Se 2.20
S  0.3574  0.7078  0.7699  1 Se 2.22
S  0.8759  0.3137  0.8661  1 Se 2.20
S  0.6426  0.2922  0.2301  1 Se 2.22
S  0.8574  0.7699  0.7078  1 Se 2.22
S  0.1426  0.2301  0.2922  1 Se 2.22

Results
- ΔE_f (raw): -0.1211 eV/atom
- ΔE to the lowest computed polymorph: 0.0000 eV per atom
- Space group: No. 15

---

These records have final energy values of -7.2941, -8.2616, -9.1134, -4.6316, -3.5527, -3.6329, -5.1783, -2.7699, -4.9091, -3.5186 eV per atom, in the order they appear.
These records have density values of 9.41, 8.29, 9.63, 7.98, 6.11, 8.77, 9.35, 5.23, 4.17, 5.29 g/cm³, in the order they appear.